Material: IOF3
Method: DFT, PBEsol
State: optimized geometry

Results
The total energy comes out at -3.85 eV per atom. The calculation puts the energy relative to the elements, uncorrected at -1.29 eV per atom. As for the relative energy among the computed polymorphs: 0 meV per atom. Its spin magnetization is 0.00 μB/cell.

CIF file:
```
data_IOF3
_chemical_formula_sum 'I4 O4 F12'
_symmetry_space_group_name_H-M 'P 21 21 21'
_symmetry_Int_Tables_number 19
_cell_length_a 5.118
_cell_length_b 5.493
_cell_length_c 10.970
_cell_angle_alpha 90.00
_cell_angle_beta 90.00
_cell_angle_gamma 90.00
loop_
_symmetry_equiv_pos_as_xyz
'x,y,z'
'-x+1/2,-y,z+1/2'
'x+1/2,-y+1/2,-z'
'-x,y+1/2,-z+1/2'
loop_
_atom_site_label
_atom_site_fract_x
_atom_site_fract_y
_atom_site_fract_z
I1 0.143 0.074 0.090
O1 0.202 0.661 0.524
F1 0.030 0.291 0.222
F2 0.060 0.997 0.687
F3 0.201 0.128 0.464
```